Record 1
Compound: LaPr6Y4
Source: Alexandria via LeMat-Bulk
Functional: PBE-GGA
Structure: relaxed

Cell: 3.6175 11.3129 11.3129 Å, 120.00 90.00 90.00°
Fractional positions:
La (0.0000, 0.0000, 0.0000)
Pr (0.0000, 0.5179, 0.0357)
Pr (0.5000, 0.6394, 0.8197)
Pr (0.0000, 0.5179, 0.4821)
Pr (0.0000, 0.9643, 0.4821)
Pr (0.5000, 0.1803, 0.8197)
Pr (0.5000, 0.1803, 0.3606)
Y (0.5000, 0.8337, 0.6675)
Y (0.5000, 0.3325, 0.1663)
Y (0.5000, 0.8337, 0.1663)
Y (0.0000, 0.3333, 0.6667)

Output
Its formation energy is 0.156 eV per atom.

=====

Record 2
Compound: NbGeAs2
Source: Alexandria via LeMat-Bulk
Functional: PBE-GGA
Structure: relaxed

Cell: 5.9261 5.9261 7.2604 Å, 65.91 65.91 90.00°
Last column: magnetic moment on the atom in μB.
Fractional positions:
Nb (0.0000, 0.0000, 0.0000)  0.83
Nb (0.7500, 0.2500, 0.5000)  0.82
Ge (0.5000, 0.5000, 0.0000)  0.02
Ge (0.2500, 0.7500, 0.5000)  0.03
As (0.6344, 0.1250, 0.2500)  -0.03
As (0.1156, 0.6250, 0.2500)  -0.03
As (0.3750, 0.3656, 0.7500)  -0.04
As (0.8750, 0.8844, 0.7500)  -0.04

Output
Its formation energy is 0.182 eV per atom.

=====

Record 3
Compound: Nd4ThN5
Source: Alexandria via LeMat-Bulk
Functional: PBE-GGA
Structure: relaxed

Cell: 5.1629 6.3317 6.3317 Å, 80.43 65.94 65.94°
Fractional positions:
Nd (0.4010, 0.4017, 0.7984)
Nd (0.8027, 0.7984, 0.5983)
Nd (0.1994, 0.2016, 0.4017)
Nd (0.6011, 0.5983, 0.2016)
Th (0.0009, 0.0000, 0.0000)
N (0.9054, 0.3862, 0.8050)
N (0.2916, 0.8050, 0.6138)
N (0.7104, 0.1950, 0.3862)
N (0.0966, 0.6138, 0.1950)
N (0.5014, 0.0000, 0.0000)

Output
The calculation puts the formation energy without anion corrections at -1.4554 eV per atom.

=====

Record 4
Compound: TiAsS2
Source: Alexandria via LeMat-Bulk
Functional: PBE-GGA
Structure: relaxed

Cell: 6.0799 6.0799 6.6041 Å, 62.59 62.59 90.00°
Last column: magnetic moment on the atom in μB.
Fractional positions:
As (0.0000, 0.0000, 0.0000)  0.14
As (0.7500, 0.2500, 0.5000)  0.14
S (0.5802, 0.1250, 0.2500)  -0.03
S (0.1698, 0.6250, 0.2500)  -0.02
S (0.3750, 0.4198, 0.7500)  -0.03
S (0.8750, 0.8302, 0.7500)  -0.02
Ti (0.5000, 0.5000, 0.0000)  0.61
Ti (0.2500, 0.7500, 0.5000)  0.62

Output
The calculation puts the formation energy without anion corrections at -0.2227 eV per atom.

=====

Record 5
Compound: Zn3RuAu2
Source: Alexandria via LeMat-Bulk
Functional: PBE-GGA
Structure: relaxed

Cell: 4.4500 7.0569 6.1493 Å, 90.00 90.00 71.93°
Fractional positions:
Zn (0.8257, 0.3490, 0.7676)
Zn (0.5000, 0.0000, 0.2408)
Zn (0.1743, 0.6510, 0.2324)
Zn (0.8257, 0.3490, 0.2324)
Zn (0.1743, 0.6510, 0.7676)
Zn (0.5000, 0.0000, 0.7592)
Ru (0.3395, 0.3214, 0.0000)
Ru (0.6605, 0.6786, 0.0000)
Au (0.0000, 0.0000, 0.0000)
Au (0.0000, 0.0000, 0.5000)
Au (0.3386, 0.3231, 0.5000)
Au (0.6614, 0.6769, 0.5000)

Output
Its formation energy is -0.138 eV per atom.

=====

Record 6
Compound: PmBe4SiPt2
Source: Alexandria via LeMat-Bulk
Functional: PBE-GGA
Structure: relaxed

Cell: 3.9466 3.9466 8.6629 Å, 76.83 76.83 60.00°
Fractional positions:
Pm (0.0000, 0.0000, 0.0000)
Be (0.4111, 0.4111, 0.7668)
Be (0.8749, 0.8749, 0.3753)
Be (0.1251, 0.1251, 0.6247)
Be (0.5889, 0.5889, 0.2332)
Si (0.5000, 0.5000, 0.5000)
Pt (0.7645, 0.7645, 0.7065)
Pt (0.2355, 0.2355, 0.2935)

Output
The calculation puts the formation energy without anion corrections at -0.4084 eV per atom.